No. 1
# Sr5Rh PBE-GGA optimized geometry
# Excess energy over the best structure of this formula in the dataset: 86 meV per atom
# M_tot: 0.000 μB per atom
# Space group: P4/mmm
# DFT total energy: -15.95 eV/cell
data_Sr5Rh
_cell_length_a 3.895
_cell_length_b 3.895
_cell_length_c 16.738
_cell_angle_alpha 90.00
_cell_angle_beta 90.00
_cell_angle_gamma 90.00
_symmetry_space_group_name_H-M 'P 1'
_symmetry_Int_Tables_number 1
loop_
_symmetry_equiv_pos_as_xyz
'x,y,z'
loop_
_atom_site_label
_atom_site_type_symbol
_atom_site_fract_x
_atom_site_fract_y
_atom_site_fract_z
Sr1 Sr 0.000 0.000 0.000
Sr2 Sr 0.000 0.000 0.399
Sr3 Sr 0.000 0.000 0.601
Sr4 Sr 0.500 0.500 0.194
Sr5 Sr 0.500 0.500 0.806
Rh1 Rh 0.500 0.500 0.500

No. 2
# SrRh4 PBE-GGA optimized geometry
# M_tot: 0.684 μB per atom
# Space group: Pm-3m
# DFT total energy: -20.56 eV/cell
data_SrRh4
_cell_length_a 4.846
_cell_length_b 4.846
_cell_length_c 4.846
_cell_angle_alpha 90.00
_cell_angle_beta 90.00
_cell_angle_gamma 90.00
_symmetry_space_group_name_H-M 'P 1'
_symmetry_Int_Tables_number 1
loop_
_symmetry_equiv_pos_as_xyz
'x,y,z'
loop_
_atom_site_label
_atom_site_type_symbol
_atom_site_fract_x
_atom_site_fract_y
_atom_site_fract_z
Sr1 Sr 0.000 0.000 0.000
Rh1 Rh 0.000 0.000 0.500
Rh2 Rh 0.000 0.500 0.000
Rh3 Rh 0.500 0.000 0.000
Rh4 Rh 0.500 0.500 0.500

No. 3
# Sr3Rh PBE-GGA optimized geometry
# M_tot: 0.000 μB per atom
# Space group: P4_2/n
# DFT total energy: -103.77 eV/cell
data_Sr3Rh
_cell_length_a 12.962
_cell_length_b 12.962
_cell_length_c 6.789
_cell_angle_alpha 90.00
_cell_angle_beta 90.00
_cell_angle_gamma 90.00
_symmetry_space_group_name_H-M 'P 1'
_symmetry_Int_Tables_number 1
loop_
_symmetry_equiv_pos_as_xyz
'x,y,z'
loop_
_atom_site_label
_atom_site_type_symbol
_atom_site_fract_x
_atom_site_fract_y
_atom_site_fract_z
Sr1 Sr 0.030 0.913 0.201
Sr2 Sr 0.087 0.530 0.701
Sr3 Sr 0.123 0.302 0.008
Sr4 Sr 0.123 0.832 0.697
Sr5 Sr 0.168 0.623 0.197
Sr6 Sr 0.198 0.123 0.492
Sr7 Sr 0.302 0.377 0.492
Sr8 Sr 0.332 0.877 0.197
Sr9 Sr 0.377 0.198 0.008
Sr10 Sr 0.377 0.668 0.697
Sr11 Sr 0.413 0.970 0.701
Sr12 Sr 0.470 0.587 0.201
Sr13 Sr 0.530 0.413 0.799
Sr14 Sr 0.587 0.030 0.299
Sr15 Sr 0.623 0.332 0.303
Sr16 Sr 0.623 0.802 0.992
Sr17 Sr 0.668 0.123 0.803
Sr18 Sr 0.698 0.623 0.508
Sr19 Sr 0.802 0.877 0.508
Sr20 Sr 0.832 0.377 0.803
Sr21 Sr 0.877 0.168 0.303
Sr22 Sr 0.877 0.698 0.992
Sr23 Sr 0.913 0.470 0.299
Sr24 Sr 0.970 0.087 0.799
Rh1 Rh 0.032 0.304 0.561
Rh2 Rh 0.196 0.032 0.939
Rh3 Rh 0.304 0.468 0.939
Rh4 Rh 0.468 0.196 0.561
Rh5 Rh 0.532 0.804 0.439
Rh6 Rh 0.696 0.532 0.061
Rh7 Rh 0.804 0.968 0.061
Rh8 Rh 0.968 0.696 0.439

No. 4
# SrRh PBE-GGA optimized geometry
# M_tot: 0.000 μB per atom
# Space group: Imm2
# DFT total energy: -54.78 eV/cell
data_SrRh
_cell_length_a 4.521
_cell_length_b 12.551
_cell_length_c 5.719
_cell_angle_alpha 90.00
_cell_angle_beta 90.00
_cell_angle_gamma 90.00
_symmetry_space_group_name_H-M 'P 1'
_symmetry_Int_Tables_number 1
loop_
_symmetry_equiv_pos_as_xyz
'x,y,z'
loop_
_atom_site_label
_atom_site_type_symbol
_atom_site_fract_x
_atom_site_fract_y
_atom_site_fract_z
Sr1 Sr 0.000 0.000 0.000
Sr2 Sr 0.000 0.264 0.611
Sr3 Sr 0.000 0.736 0.611
Sr4 Sr 0.500 0.236 0.111
Sr5 Sr 0.500 0.500 0.500
Sr6 Sr 0.500 0.764 0.111
Rh1 Rh 0.000 0.000 0.514
Rh2 Rh 0.000 0.397 0.095
Rh3 Rh 0.000 0.603 0.095
Rh4 Rh 0.500 0.103 0.595
Rh5 Rh 0.500 0.500 0.014
Rh6 Rh 0.500 0.897 0.595

No. 5
# Sr4Rh PBE-GGA optimized geometry
# Excess energy over the best structure of this formula in the dataset: 92 meV per atom
# M_tot: 0.000 μB per atom
# Space group: I4/m
# DFT total energy: -29.10 eV/cell
data_Sr4Rh
_cell_length_a 10.299
_cell_length_b 10.299
_cell_length_c 3.869
_cell_angle_alpha 90.00
_cell_angle_beta 90.00
_cell_angle_gamma 90.00
_symmetry_space_group_name_H-M 'P 1'
_symmetry_Int_Tables_number 1
loop_
_symmetry_equiv_pos_as_xyz
'x,y,z'
loop_
_atom_site_label
_atom_site_type_symbol
_atom_site_fract_x
_atom_site_fract_y
_atom_site_fract_z
Sr1 Sr 0.058 0.760 0.000
Sr2 Sr 0.240 0.058 0.000
Sr3 Sr 0.260 0.442 0.500
Sr4 Sr 0.442 0.740 0.500
Sr5 Sr 0.558 0.260 0.500
Sr6 Sr 0.740 0.558 0.500
Sr7 Sr 0.760 0.942 0.000
Sr8 Sr 0.942 0.240 0.000
Rh1 Rh 0.000 0.000 0.500
Rh2 Rh 0.500 0.500 0.000

No. 6
# Sr2Rh PBE-GGA optimized geometry
# M_tot: 0.000 μB per atom
# Space group: Fm-3m
# DFT total energy: -44.49 eV/cell
data_Sr2Rh
_cell_length_a 7.341
_cell_length_b 7.341
_cell_length_c 7.341
_cell_angle_alpha 90.00
_cell_angle_beta 90.00
_cell_angle_gamma 90.00
_symmetry_space_group_name_H-M 'P 1'
_symmetry_Int_Tables_number 1
loop_
_symmetry_equiv_pos_as_xyz
'x,y,z'
loop_
_atom_site_label
_atom_site_type_symbol
_atom_site_fract_x
_atom_site_fract_y
_atom_site_fract_z
Sr1 Sr 0.250 0.250 0.250
Sr2 Sr 0.250 0.250 0.750
Sr3 Sr 0.250 0.750 0.250
Sr4 Sr 0.250 0.750 0.750
Sr5 Sr 0.750 0.250 0.250
Sr6 Sr 0.750 0.250 0.750
Sr7 Sr 0.750 0.750 0.250
Sr8 Sr 0.750 0.750 0.750
Rh1 Rh 0.000 0.000 0.000
Rh2 Rh 0.000 0.500 0.500
Rh3 Rh 0.500 0.000 0.500
Rh4 Rh 0.500 0.500 0.000

No. 7
# SrTa2Rh PBE-GGA optimized geometry
# Excess energy over the best structure of this formula in the dataset: 252 meV per atom
# M_tot: 0.000 μB per atom
# Space group: Cm
# DFT total energy: -62.42 eV/cell
data_SrTa2Rh
_cell_length_a 10.099
_cell_length_b 3.033
_cell_length_c 6.156
_cell_angle_alpha 90.00
_cell_angle_beta 102.45
_cell_angle_gamma 90.00
_symmetry_space_group_name_H-M 'P 1'
_symmetry_Int_Tables_number 1
loop_
_symmetry_equiv_pos_as_xyz
'x,y,z'
loop_
_atom_site_label
_atom_site_type_symbol
_atom_site_fract_x
_atom_site_fract_y
_atom_site_fract_z
Sr1 Sr 0.000 0.000 0.000
Sr2 Sr 0.500 0.500 0.000
Ta1 Ta 0.034 0.500 0.516
Ta2 Ta 0.301 0.500 0.400
Ta3 Ta 0.534 0.000 0.516
Ta4 Ta 0.801 0.000 0.400
Rh1 Rh 0.236 0.000 0.723
Rh2 Rh 0.736 0.500 0.723

No. 8
# SrTa2Rh PBE-GGA optimized geometry
# Excess energy over the best structure of this formula in the dataset: 584 meV per atom
# M_tot: 0.000 μB per atom
# Space group: Cmmm
# DFT total energy: -59.76 eV/cell
data_SrTa2Rh
_cell_length_a 5.480
_cell_length_b 10.107
_cell_length_c 2.899
_cell_angle_alpha 90.00
_cell_angle_beta 90.00
_cell_angle_gamma 90.00
_symmetry_space_group_name_H-M 'P 1'
_symmetry_Int_Tables_number 1
loop_
_symmetry_equiv_pos_as_xyz
'x,y,z'
loop_
_atom_site_label
_atom_site_type_symbol
_atom_site_fract_x
_atom_site_fract_y
_atom_site_fract_z
Sr1 Sr 0.000 0.000 0.000
Sr2 Sr 0.500 0.500 0.000
Ta1 Ta 0.250 0.250 0.500
Ta2 Ta 0.250 0.750 0.500
Ta3 Ta 0.750 0.250 0.500
Ta4 Ta 0.750 0.750 0.500
Rh1 Rh 0.000 0.500 0.000
Rh2 Rh 0.500 0.000 0.000

No. 9
# SrTa2Rh PBE-GGA optimized geometry
# Excess energy over the best structure of this formula in the dataset: 286 meV per atom
# M_tot: 0.000 μB per atom
# Space group: P4/mmm
# DFT total energy: -31.07 eV/cell
data_SrTa2Rh
_cell_length_a 2.940
_cell_length_b 2.940
_cell_length_c 9.664
_cell_angle_alpha 90.00
_cell_angle_beta 90.00
_cell_angle_gamma 90.00
_symmetry_space_group_name_H-M 'P 1'
_symmetry_Int_Tables_number 1
loop_
_symmetry_equiv_pos_as_xyz
'x,y,z'
loop_
_atom_site_label
_atom_site_type_symbol
_atom_site_fract_x
_atom_site_fract_y
_atom_site_fract_z
Sr1 Sr 0.000 0.000 0.000
Ta1 Ta 0.500 0.500 0.308
Ta2 Ta 0.500 0.500 0.692
Rh1 Rh 0.000 0.000 0.500

No. 10
# SrTa2Rh PBE-GGA optimized geometry
# Excess energy over the best structure of this formula in the dataset: 410 meV per atom
# M_tot: 0.000 μB per atom
# Space group: Pmmm
# DFT total energy: -30.57 eV/cell
data_SrTa2Rh
_cell_length_a 3.239
_cell_length_b 4.679
_cell_length_c 5.304
_cell_angle_alpha 90.00
_cell_angle_beta 90.00
_cell_angle_gamma 90.00
_symmetry_space_group_name_H-M 'P 1'
_symmetry_Int_Tables_number 1
loop_
_symmetry_equiv_pos_as_xyz
'x,y,z'
loop_
_atom_site_label
_atom_site_type_symbol
_atom_site_fract_x
_atom_site_fract_y
_atom_site_fract_z
Sr1 Sr 0.000 0.000 0.000
Ta1 Ta 0.000 0.500 0.500
Ta2 Ta 0.500 0.000 0.500
Rh1 Rh 0.500 0.500 0.000

No. 11
# SrTa2Rh PBE-GGA optimized geometry
# Excess energy over the best structure of this formula in the dataset: 351 meV per atom
# M_tot: 0.000 μB per atom
# Space group: P4/mmm
# DFT total energy: -30.81 eV/cell
data_SrTa2Rh
_cell_length_a 3.335
_cell_length_b 3.335
_cell_length_c 8.010
_cell_angle_alpha 90.00
_cell_angle_beta 90.00
_cell_angle_gamma 90.00
_symmetry_space_group_name_H-M 'P 1'
_symmetry_Int_Tables_number 1
loop_
_symmetry_equiv_pos_as_xyz
'x,y,z'
loop_
_atom_site_label
_atom_site_type_symbol
_atom_site_fract_x
_atom_site_fract_y
_atom_site_fract_z
Sr1 Sr 0.000 0.000 0.000
Ta1 Ta 0.500 0.500 0.330
Ta2 Ta 0.500 0.500 0.670
Rh1 Rh 0.000 0.000 0.500

No. 12
# SrTa2Rh PBE-GGA optimized geometry
# Excess energy over the best structure of this formula in the dataset: 503 meV per atom
# M_tot: 0.000 μB per atom
# Space group: I4/mmm
# DFT total energy: -60.41 eV/cell
data_SrTa2Rh
_cell_length_a 3.984
_cell_length_b 3.984
_cell_length_c 10.397
_cell_angle_alpha 90.00
_cell_angle_beta 90.00
_cell_angle_gamma 90.00
_symmetry_space_group_name_H-M 'P 1'
_symmetry_Int_Tables_number 1
loop_
_symmetry_equiv_pos_as_xyz
'x,y,z'
loop_
_atom_site_label
_atom_site_type_symbol
_atom_site_fract_x
_atom_site_fract_y
_atom_site_fract_z
Sr1 Sr 0.000 0.000 0.000
Sr2 Sr 0.500 0.500 0.500
Ta1 Ta 0.000 0.500 0.250
Ta2 Ta 0.000 0.500 0.750
Ta3 Ta 0.500 0.000 0.250
Ta4 Ta 0.500 0.000 0.750
Rh1 Rh 0.000 0.000 0.500
Rh2 Rh 0.500 0.500 0.000

| no. | calculated formation energy (eV per atom) |
| --- | --- |
| 1 | -0.0310 |
| 2 | 2.1050 |
| 3 | -0.1434 |
| 4 | -0.0487 |
| 5 | -0.0946 |
| 6 | -0.1358 |
| 7 | 0.3827 |
| 8 | 0.7151 |
| 9 | 0.4163 |
| 10 | 0.5411 |
| 11 | 0.4812 |
| 12 | 0.6335 |